# NaMoBr2 | the Alexandria database | GGA-PBE | relaxed
# Formation energy (no corrections), eV/atom: 0.24
# Space group: Fm-3m (225)
# Polymorph energy (0 for the lowest one), meV/atom: 248
data_NaMoBr2
_chemical_formula_sum 'Na1 Mo1 Br2'
_cell_length_a 4.807
_cell_length_b 4.807
_cell_length_c 4.807
_cell_angle_alpha 60.00
_cell_angle_beta 60.00
_cell_angle_gamma 60.00
_symmetry_space_group_name_H-M 'P 1'
_symmetry_Int_Tables_number 1
_symmetry_space_group_name_Hall 'P 1'
loop_
_atom_site_label
_atom_site_type_symbol
_atom_site_fract_x
_atom_site_fract_y
_atom_site_fract_z
Na1 Na 0.000 0.000 0.000
Mo1 Mo 0.500 0.500 0.500
Br1 Br 0.250 0.250 0.250
Br2 Br 0.750 0.750 0.750